The following is a DFT calculation (PBE-GGA) of a relaxed structure of Ti4Ni3Mo.

SG   Pmmm (47)
Total DFT energy (no corrections)   -7.783 eV per atom

Unit cell a=3.1577 b=4.2601 c=8.4370 alpha=90.00 beta=90.00 gamma=90.00
With the nearest neighbours (Å) after each atom.
Positions (direct):
Ni (0.5000, 0.0000, 0.2574)  8 Ti 2.58-2.69
Ni (0.5000, 0.5000, 0.5000)  8 Ti 2.61-2.65
Ni (0.5000, 0.0000, 0.7426)  8 Ti 2.58-2.69
Mo (0.5000, 0.5000, 0.0000)  8 Ti 2.65-2.66
Ti (0.0000, 0.0000, 0.5000)  8 Ni 2.58-2.65
Ti (0.0000, 0.5000, 0.7467)  6 Ni 2.61-2.65, 2 Mo 2.66
Ti (0.0000, 0.0000, 0.0000)  4 Mo 2.65, 4 Ni 2.69
Ti (0.0000, 0.5000, 0.2533)  6 Ni 2.61-2.65, 2 Mo 2.66



The following is a DFT calculation (PBE-GGA) of a relaxed structure of Ti3NiMo.

SG   Cmcm (63)
Total DFT energy (no corrections)   -8.284 eV per atom

Unit cell a=4.3723 b=4.3691 c=8.1993 alpha=90.00 beta=105.45 gamma=90.00
With the nearest neighbours (Å) after each atom.
Positions (direct):
Ti (0.5700, 0.3444, 0.4217)  2 Ni 2.64, 2 Mo 2.65, 4 Ti 2.83-2.84
Ti (0.7631, 0.3443, 0.8079)  4 Mo 2.67-2.68, 4 Ni 2.69
Ti (0.0688, 0.8443, 0.4197)  2 Ni 2.65, 2 Mo 2.66, 4 Ti 2.82-2.83
Ti (0.9569, 0.3443, 0.1948)  2 Ni 2.65, 2 Mo 2.66, 4 Ti 2.82-2.83
Ti (0.4558, 0.8444, 0.1928)  2 Ni 2.64, 2 Mo 2.65, 4 Ti 2.83-2.84
Ti (0.2625, 0.8443, 0.8067)  4 Mo 2.67-2.68, 4 Ni 2.69
Ni (0.3623, 0.3446, 0.0059)  8 Ti 2.64-2.69
Ni (0.6632, 0.8447, 0.6087)  8 Ti 2.64-2.69
Mo (0.8609, 0.8443, 0.0029)  8 Ti 2.65-2.68
Mo (0.1647, 0.3444, 0.6117)  8 Ti 2.65-2.68



The following is a DFT calculation (PBE-GGA) of a relaxed structure of Ti3NiMo.

SG   Pm-3m (221)
Total DFT energy (no corrections)   -7.468 eV per atom

Unit cell a=4.4577 b=4.4577 c=4.4577 alpha=90.00 beta=90.00 gamma=90.00
With the nearest neighbours (Å) after each atom.
Positions (direct):
Ni (0.0000, 0.0000, 0.0000)  6 Ti 2.23
Mo (0.5000, 0.5000, 0.5000)  12 Ti 3.15
Ti (0.0000, 0.5000, 0.0000)  2 Ni 2.23
Ti (0.0000, 0.0000, 0.5000)  2 Ni 2.23
Ti (0.5000, 0.0000, 0.0000)  2 Ni 2.23



The following is a DFT calculation (PBE-GGA) of a relaxed structure of Ti8NiMo2.

SG   C2/m (12)
Total DFT energy (no corrections)   -8.273 eV per atom

Unit cell a=4.3825 b=5.9180 c=8.3638 alpha=119.83 beta=105.19 gamma=90.00
With the nearest neighbours (Å) after each atom.
Positions (direct):
Ti (0.5987, 0.7476, 0.1975)  1 Ni 2.69, 5 Ti 2.76-2.88, 3 Mo 2.82-3.00
Ti (0.3368, 0.6031, 0.6736)  1 Ni 2.47, 1 Mo 2.62, 2 Ti 2.76
Ti (0.1681, 0.1175, 0.3363)  3 Mo 2.58-2.78, 6 Ti 2.76-2.88
Ti (0.0268, 0.3101, 0.0536)  1 Mo 2.74, 2 Ni 2.75, 7 Ti 2.79-3.03
Ti (0.8319, 0.8825, 0.6637)  3 Mo 2.58-2.78, 6 Ti 2.76-2.88
Ti (0.6632, 0.3969, 0.3264)  1 Ni 2.47, 1 Mo 2.62, 2 Ti 2.76
Ti (0.4013, 0.2524, 0.8025)  1 Ni 2.69, 5 Ti 2.76-2.88, 3 Mo 2.82-3.00
Ti (0.9732, 0.6899, 0.9464)  1 Mo 2.74, 2 Ni 2.75, 7 Ti 2.79-3.03
Ni (0.5000, 0.0000, 0.0000)  8 Ti 2.47-2.75
Mo (0.2088, 0.7493, 0.4176)  9 Ti 2.58-2.85
Mo (0.7912, 0.2507, 0.5824)  9 Ti 2.58-2.85



The following is a DFT calculation (PBE-GGA) of a relaxed structure of Ti6NiMo.

SG   C2/m (12)
Total DFT energy (no corrections)   -7.793 eV per atom

Unit cell a=5.5928 b=5.5928 c=5.7381 alpha=103.83 beta=103.83 gamma=120.36
With the nearest neighbours (Å) after each atom.
Positions (direct):
Ti (0.2670, 0.2670, 0.7374)  1 Ni 2.29
Ti (0.4876, 0.0605, 0.2467)  1 Ni 2.50, 1 Mo 2.56, 2 Ti 2.78-2.79
Ti (0.7330, 0.7330, 0.2626)  1 Ni 2.29
Ti (0.9395, 0.5124, 0.7533)  1 Ni 2.50, 1 Mo 2.56, 2 Ti 2.78-2.79
Ti (0.5124, 0.9395, 0.7533)  1 Ni 2.50, 1 Mo 2.56, 2 Ti 2.78-2.79
Ti (0.0605, 0.4876, 0.2467)  1 Ni 2.50, 1 Mo 2.56, 2 Ti 2.78-2.79
Ni (0.5000, 0.5000, 0.5000)  6 Ti 2.29-2.50
Mo (0.0000, 0.0000, 0.0000)  6 Ti 2.56-2.57



The following is a DFT calculation (PBE-GGA) of a relaxed structure of TlNiMo2.

SG   P4mm (99)
Total DFT energy (no corrections)   -6.996 eV per atom

Unit cell a=2.8142 b=2.8142 c=8.3060 alpha=90.00 beta=90.00 gamma=90.00
With the nearest neighbours (Å) after each atom.
Positions (direct):
Mo (0.0000, 0.0000, 0.0153)  8 Mo 2.81-2.95, 4 Tl 3.10
Mo (0.5000, 0.5000, 0.2778)  4 Ni 2.59, 4 Mo 2.81
Ni (0.0000, 0.0000, 0.4778)  4 Mo 2.59, 4 Ni 2.81, 4 Tl 2.88
Tl (0.5000, 0.5000, 0.7292)  4 Tl 2.81, 4 Ni 2.88, 4 Mo 3.10



The following is a DFT calculation (PBE-GGA) of a relaxed structure of TlNi2Mo.

SG   R-3m (166)
Total DFT energy (no corrections)   -5.723 eV per atom

Unit cell a=8.7611 b=8.7611 c=8.7611 alpha=19.03 beta=19.03 gamma=19.03
With the nearest neighbours (Å) after each atom.
Positions (direct):
Mo (0.7500, 0.7500, 0.7500)  6 Ni 2.61, 6 Mo 2.90
Ni (0.0057, 0.0057, 0.0057)  3 Mo 2.61, 3 Tl 2.84, 6 Ni 2.90
Ni (0.4943, 0.4943, 0.4943)  3 Mo 2.61, 3 Tl 2.84, 6 Ni 2.90
Tl (0.2500, 0.2500, 0.2500)  6 Ni 2.84, 6 Tl 2.90



The following is a DFT calculation (PBE-GGA) of a relaxed structure of TlNi4Mo.

SG   F-43m (216)
Total DFT energy (no corrections)   -5.816 eV per atom

Unit cell a=4.8375 b=4.8375 c=4.8375 alpha=60.00 beta=60.00 gamma=60.00
With the nearest neighbours (Å) after each atom.
Positions (direct):
Tl (0.2500, 0.2500, 0.2500)  12 Ni 2.84, 4 Mo 2.96
Ni (0.6259, 0.6259, 0.1222)  6 Ni 2.40-2.44
Ni (0.6259, 0.1222, 0.6259)  6 Ni 2.40-2.44
Ni (0.6259, 0.6259, 0.6259)  6 Ni 2.40-2.44
Ni (0.1222, 0.6259, 0.6259)  6 Ni 2.40-2.44
Mo (0.0000, 0.0000, 0.0000)  12 Ni 2.83, 4 Tl 2.96



The following is a DFT calculation (PBE-GGA) of a relaxed structure of TlNiMo2.

SG   P2/m (10)
Total DFT energy (no corrections)   -6.986 eV per atom

Unit cell a=4.1797 b=2.8195 c=6.0747 alpha=66.42 beta=90.00 gamma=90.00
With the nearest neighbours (Å) after each atom.
Positions (direct):
Mo (0.0000, 0.0019, 0.0366)  1 Mo 2.41, 2 Ni 2.70
Mo (0.0000, 0.4981, 0.4634)  1 Mo 2.41, 2 Ni 2.70
Ni (0.5000, 0.2500, 0.2500)  8 Mo 2.70-2.89, 2 Tl 2.79, 2 Ni 2.82
Tl (0.5000, 0.7500, 0.7500)  2 Ni 2.79, 2 Tl 2.82, 8 Mo 2.98



The following is a DFT calculation (PBE-GGA) of a relaxed structure of TlNiMo2.

SG   I-42d (122)
Total DFT energy (no corrections)   -6.582 eV per atom

Unit cell a=7.3308 b=7.3308 c=5.7955 alpha=50.77 beta=50.77 gamma=90.00
With the nearest neighbours (Å) after each atom.
Positions (direct):
Ni (0.5000, 0.5000, 0.0000)  4 Mo 2.47, 2 Tl 2.59
Ni (0.2500, 0.7500, 0.5000)  4 Mo 2.47, 2 Tl 2.59
Tl (0.0000, 0.0000, 0.0000)  2 Ni 2.59, 4 Mo 2.89
Tl (0.7500, 0.2500, 0.5000)  2 Ni 2.59, 4 Mo 2.89
Mo (0.5832, 0.1250, 0.2500)  2 Ni 2.47, 2 Mo 2.66
Mo (0.1668, 0.6250, 0.2500)  2 Ni 2.47, 2 Mo 2.66
Mo (0.3750, 0.4168, 0.7500)  2 Ni 2.47, 2 Mo 2.66
Mo (0.8750, 0.8332, 0.7500)  2 Ni 2.47, 2 Mo 2.66



The following is a DFT calculation (PBE-GGA) of a relaxed structure of TlNi2Mo.

SG   C2/m (12)
Total DFT energy (no corrections)   -5.807 eV per atom

Unit cell a=4.4751 b=4.4751 c=5.1819 alpha=82.42 beta=82.42 gamma=37.36
With the nearest neighbours (Å) after each atom.
Positions (direct):
Mo (0.2500, 0.2500, 0.2500)  6 Ni 2.52-2.61
Ni (0.9945, 0.9945, 0.0519)  2 Ni 2.52, 3 Mo 2.52-2.61, 1 Tl 2.77
Ni (0.5055, 0.5055, 0.4481)  2 Ni 2.52, 3 Mo 2.52-2.61, 1 Tl 2.77
Tl (0.7500, 0.7500, 0.7500)  6 Ni 2.77-2.87, 2 Tl 2.87, 4 Mo 2.96



The following is a DFT calculation (PBE-GGA) of a relaxed structure of TlNiMo2.

SG   P4/mmm (123)
Total DFT energy (no corrections)   -6.960 eV per atom

Unit cell a=2.8569 b=2.8569 c=7.9513 alpha=90.00 beta=90.00 gamma=89.95
With the nearest neighbours (Å) after each atom.
Positions (direct):
Mo (0.0000, 0.0000, 0.0396)  4 Ni 2.62, 4 Mo 2.86
Mo (0.0000, 0.0000, 0.4604)  4 Ni 2.62, 4 Mo 2.86
Ni (0.5000, 0.5000, 0.2500)  8 Mo 2.62, 4 Ni 2.86
Tl (0.5000, 0.5000, 0.7500)  4 Tl 2.86, 8 Mo 3.06



The following is a DFT calculation (PBE-GGA) of a relaxed structure of TlNiMo2.

SG   Cmmm (65)
Total DFT energy (no corrections)   -6.873 eV per atom

Unit cell a=5.1103 b=5.1103 c=2.8418 alpha=90.00 beta=90.00 gamma=118.47
With the nearest neighbours (Å) after each atom.
Positions (direct):
Mo (0.0000, 0.0000, 0.0000)  4 Mo 2.61-2.84, 4 Tl 2.92, 4 Ni 2.92
Mo (0.5000, 0.5000, 0.0000)  4 Mo 2.61-2.84, 4 Ni 2.92, 4 Tl 2.92
Ni (0.5000, 0.0000, 0.5000)  2 Tl 2.61, 2 Ni 2.84, 8 Mo 2.92
Tl (0.0000, 0.5000, 0.5000)  2 Ni 2.61, 2 Tl 2.84, 8 Mo 2.92



The following is a DFT calculation (PBE-GGA) of a relaxed structure of TlNiMo2.

SG   Imm2 (44)
Total DFT energy (no corrections)   -6.981 eV per atom

Unit cell a=5.1051 b=5.1051 c=5.1051 alpha=141.58 beta=126.33 gamma=67.92
With the nearest neighbours (Å) after each atom.
Positions (direct):
Mo (0.0198, 0.0198, 0.0000)  2 Mo 2.57, 4 Ni 2.86
Mo (0.2493, 0.7493, 0.5000)  2 Mo 2.57, 2 Ni 2.66, 4 Tl 2.85
Ni (0.4922, 0.4922, 0.0000)  6 Mo 2.66-2.86, 2 Tl 2.68
Tl (0.7388, 0.2388, 0.5000)  2 Ni 2.68, 8 Mo 2.85-2.96



The following is a DFT calculation (PBE-GGA) of a relaxed structure of TlNi2Mo.

SG   Cmmm (65)
Total DFT energy (no corrections)   -5.750 eV per atom

Unit cell a=4.6083 b=4.6083 c=2.8129 alpha=90.00 beta=90.00 gamma=89.83
With the nearest neighbours (Å) after each atom.
Positions (direct):
Mo (0.0000, 0.5000, 0.5000)  8 Ni 2.70, 2 Mo 2.81
Ni (0.0000, 0.0000, 0.0000)  4 Mo 2.70, 4 Tl 2.70, 2 Ni 2.81
Ni (0.5000, 0.5000, 0.0000)  4 Tl 2.70, 4 Mo 2.70, 2 Ni 2.81
Tl (0.5000, 0.0000, 0.5000)  8 Ni 2.70, 2 Tl 2.81



The following is a DFT calculation (PBE-GGA) of a relaxed structure of TlNi2Mo.

SG   F-43m (216)
Total DFT energy (no corrections)   -5.638 eV per atom

Unit cell a=4.4059 b=4.4059 c=4.4059 alpha=60.00 beta=60.00 gamma=60.00
With the nearest neighbours (Å) after each atom.
Positions (direct):
Mo (0.5000, 0.5000, 0.5000)  4 Tl 2.70, 4 Ni 2.70
Ni (0.0000, 0.0000, 0.0000)  4 Tl 2.70, 4 Ni 2.70
Ni (0.2500, 0.2500, 0.2500)  4 Mo 2.70, 4 Ni 2.70
Tl (0.7500, 0.7500, 0.7500)  4 Ni 2.70, 4 Mo 2.70



The following is a DFT calculation (PBE-GGA) of a relaxed structure of TlNi2Mo.

SG   Cm (8)
Total DFT energy (no corrections)   -5.789 eV per atom

Unit cell a=4.6408 b=4.6408 c=4.9251 alpha=78.85 beta=78.85 gamma=35.85
With the nearest neighbours (Å) after each atom.
Positions (direct):
Mo (0.2614, 0.2614, 0.1866)  5 Ni 2.57, 2 Mo 2.86
Ni (0.0043, 0.0043, 0.0187)  3 Mo 2.57, 5 Ni 2.62-2.87, 2 Tl 2.81
Ni (0.7395, 0.7395, 0.7627)  2 Mo 2.57, 5 Ni 2.62-2.87, 3 Tl 2.64-2.72
Tl (0.4949, 0.4949, 0.5319)  7 Ni 2.64-2.89, 2 Tl 2.86, 1 Mo 2.93



The following is a DFT calculation (PBE-GGA) of a relaxed structure of TlNi2Mo.

SG   I-4m2 (119)
Total DFT energy (no corrections)   -5.693 eV per atom

Unit cell a=4.7999 b=4.7999 c=4.7999 alpha=131.85 beta=131.85 gamma=70.46
With the nearest neighbours (Å) after each atom.
Positions (direct):
Mo (0.7500, 0.2500, 0.5000)  8 Ni 2.77, 4 Tl 2.77
Ni (0.0000, 0.0000, 0.0000)  4 Tl 2.77, 4 Ni 2.77, 4 Mo 2.77
Ni (0.2500, 0.7500, 0.5000)  4 Mo 2.77, 4 Tl 2.77, 4 Ni 2.77
Tl (0.5000, 0.5000, 0.0000)  8 Ni 2.77, 4 Mo 2.77



The following is a DFT calculation (PBE-GGA) of a relaxed structure of TlNiMo2.

SG   Immm (71)
Total DFT energy (no corrections)   -7.041 eV per atom

Unit cell a=5.1938 b=5.1938 c=5.1938 alpha=138.55 beta=135.46 gamma=62.47
With the nearest neighbours (Å) after each atom.
Positions (direct):
Mo (0.0026, 0.0026, 0.0000)  4 Mo 2.69, 4 Ni 2.86-2.98, 4 Tl 2.90-2.95
Mo (0.4974, 0.4974, 0.0000)  4 Mo 2.69, 4 Ni 2.86-2.98, 4 Tl 2.90-2.95
Ni (0.2500, 0.7500, 0.5000)  4 Tl 2.69, 8 Mo 2.86-2.98
Tl (0.7500, 0.2500, 0.5000)  4 Ni 2.69, 8 Mo 2.90-2.95



The following is a DFT calculation (PBE-GGA) of a relaxed structure of TlNiMo2.

SG   F-43m (216)
Total DFT energy (no corrections)   -6.856 eV per atom

Unit cell a=4.5263 b=4.5263 c=4.5263 alpha=60.00 beta=60.00 gamma=60.00
With the nearest neighbours (Å) after each atom.
Positions (direct):
Mo (0.0000, 0.0000, 0.0000)  4 Tl 2.77, 4 Mo 2.77
Mo (0.2500, 0.2500, 0.2500)  4 Ni 2.77, 4 Mo 2.77
Ni (0.5000, 0.5000, 0.5000)  4 Mo 2.77, 4 Tl 2.77
Tl (0.7500, 0.7500, 0.7500)  4 Mo 2.77, 4 Ni 2.77